The following is a DFT calculation (PBE-GGA) of Dy3YHg7 after structural relaxation.

Summary:
For the formation energy from the elements, the calculation gives -214 meV/atom. For the calculated density, the calculation gives 9.2 g/cm³. The final energy is -2.2486 eV/atom.

```
data_Dy3YHg7
_chemical_formula_sum 'Dy12 Y4 Hg28'
_cell_length_a 3.604
_cell_length_b 31.333
_cell_length_c 12.637
_cell_angle_alpha 90.00
_cell_angle_beta 90.00
_cell_angle_gamma 90.00
_space_group_name_H-M_alt 'C m c m'
_space_group_IT_number 63
_space_group_name_Hall '-C 2c 2'
loop_
_atom_site_label
_atom_site_type_symbol
_atom_site_fract_x
_atom_site_fract_y
_atom_site_fract_z
Dy1 Dy 0.000 0.069 0.047
Dy2 Dy 0.000 0.188 0.750
Y1 Y 0.000 0.072 0.750
Hg1 Hg 0.000 0.270 0.078
Hg2 Hg 0.000 0.371 0.098
Hg3 Hg 0.000 0.422 0.750
Hg4 Hg 0.000 0.489 0.117
```



The following is a DFT calculation (PBE-GGA) of Dy5YHg6 after structural relaxation.

Summary:
For the formation energy from the elements, the calculation gives -486 meV/atom. For the calculated density, the calculation gives 11.3 g/cm³. The final energy is -3.0934 eV/atom.

```
data_Dy5YHg6
_chemical_formula_sum 'Dy10 Y2 Hg12'
_cell_length_a 5.252
_cell_length_b 15.815
_cell_length_c 7.458
_cell_angle_alpha 90.00
_cell_angle_beta 90.00
_cell_angle_gamma 90.00
_space_group_name_H-M_alt 'C m m m'
_space_group_IT_number 65
_space_group_name_Hall '-C 2 2'
loop_
_atom_site_label
_atom_site_type_symbol
_atom_site_fract_x
_atom_site_fract_y
_atom_site_fract_z
Dy1 Dy 0.000 0.000 0.000
Dy2 Dy 0.000 0.333 0.500
Dy3 Dy 0.000 0.334 0.000
Y1 Y 0.000 0.000 0.500
Hg1 Hg 0.000 0.167 0.249
Hg2 Hg 0.000 0.500 0.249
```



The following is a DFT calculation (PBE-GGA) of Dy3Y2Hg4 after structural relaxation.

Summary:
For the formation energy from the elements, the calculation gives -338 meV/atom. For the calculated density, the calculation gives 9.7 g/cm³. The final energy is -3.4431 eV/atom.

```
data_Dy3Y2Hg4
_chemical_formula_sum 'Dy12 Y8 Hg16'
_cell_length_a 6.934
_cell_length_b 18.051
_cell_length_c 8.003
_cell_angle_alpha 90.00
_cell_angle_beta 90.00
_cell_angle_gamma 90.00
_space_group_name_H-M_alt 'C m c e'
_space_group_IT_number 64
_space_group_name_Hall '-C 2ac 2'
loop_
_atom_site_label
_atom_site_type_symbol
_atom_site_fract_x
_atom_site_fract_y
_atom_site_fract_z
Dy1 Dy 0.000 0.000 0.000
Dy2 Dy 0.250 0.238 0.250
Y1 Y 0.000 0.095 0.587
Hg1 Hg 0.000 0.165 0.965
Hg2 Hg 0.250 0.067 0.250
```



The following is a DFT calculation (PBE-GGA) of Dy3Y2Hg2 after structural relaxation.

Summary:
For the formation energy from the elements, the calculation gives -252 meV/atom. For the calculated density, the calculation gives 9.0 g/cm³. The offset from the most stable computed form comes out at 0.0 kJ/mol of atoms. The final energy is -4.1574 eV/atom.

```
data_Dy3Y2Hg2
_chemical_formula_sum 'Dy6 Y4 Hg4'
_cell_length_a 9.273
_cell_length_b 5.347
_cell_length_c 8.511
_cell_angle_alpha 90.00
_cell_angle_beta 111.22
_cell_angle_gamma 90.00
_space_group_name_H-M_alt 'C 1 2/m 1'
_space_group_IT_number 12
loop_
_space_group_symop_operation_xyz
'x,y,z'
'-x,-y,-z'
'-x,y,-z'
'x,-y,z'
'x+1/2,y+1/2,z'
'-x+1/2,-y+1/2,-z'
'-x+1/2,y+1/2,-z'
'x+1/2,-y+1/2,z'
loop_
_atom_site_label
_atom_site_type_symbol
_atom_site_fract_x
_atom_site_fract_y
_atom_site_fract_z
Dy1 Dy 0.000 0.000 0.000
Dy2 Dy 0.158 0.000 0.473
Y1 Y 0.076 0.500 0.727
Hg1 Hg 0.213 0.500 0.140
```



The following is a DFT calculation (PBE-GGA) of DyY6Hg12 after structural relaxation.

Summary:
For the formation energy from the elements, the calculation gives -339 meV/atom. For the calculated density, the calculation gives 10.3 g/cm³. The final energy is -2.8129 eV/atom.

```
data_DyY6Hg12
_chemical_formula_sum 'Dy3 Y18 Hg36'
_cell_length_a 13.8548
_cell_length_b 13.8548
_cell_length_c 9.0474
_cell_angle_alpha 90.00
_cell_angle_beta 90.00
_cell_angle_gamma 120.00
_space_group_name_H-M_alt 'R -3'
_space_group_IT_number 148
_space_group_name_Hall '-R 3'
loop_
_atom_site_label
_atom_site_type_symbol
_atom_site_fract_x
_atom_site_fract_y
_atom_site_fract_z
Dy1 Dy 0.0000 0.0000 0.0000
Y1 Y 0.0313 0.2424 0.7276
Hg1 Hg 0.0267 0.1940 0.3925
Hg2 Hg 0.0701 0.2436 0.0698
```



The following is a DFT calculation (PBE-GGA) of DyYHg3 after structural relaxation.

Summary:
For the formation energy from the elements, the calculation gives -401 meV/atom. For the calculated density, the calculation gives 11.1 g/cm³. The final energy is -2.7954 eV/atom.

```
data_DyYHg3
_chemical_formula_sum 'Dy4 Y4 Hg12'
_cell_length_a 3.591
_cell_length_b 28.974
_cell_length_c 4.887
_cell_angle_alpha 90.00
_cell_angle_beta 90.00
_cell_angle_gamma 90.00
_space_group_name_H-M_alt 'C m c m'
_space_group_IT_number 63
_space_group_name_Hall '-C 2c 2'
loop_
_atom_site_label
_atom_site_type_symbol
_atom_site_fract_x
_atom_site_fract_y
_atom_site_fract_z
Dy1 Dy 0.000 0.211 0.250
Y1 Y 0.000 0.076 0.750
Hg1 Hg 0.000 0.320 0.250
Hg2 Hg 0.000 0.378 0.750
Hg3 Hg 0.000 0.476 0.750
```



The following is a DFT calculation (PBE-GGA) of DyY2Hg after structural relaxation.

Summary:
For the formation energy from the elements, the calculation gives -169 meV/atom. For the calculated density, the calculation gives 7.4 g/cm³. The offset from the most stable computed form comes out at 6.4 kJ/mol of atoms. The final energy is -4.6271 eV/atom.

```
data_DyY2Hg
_chemical_formula_sum 'Dy3 Y6 Hg3'
_cell_length_a 3.6625
_cell_length_b 3.6625
_cell_length_c 31.3388
_cell_angle_alpha 90.00
_cell_angle_beta 90.00
_cell_angle_gamma 120.00
_space_group_name_H-M_alt 'R 3 m'
_space_group_IT_number 160
_space_group_name_Hall 'R 3 -2"'
loop_
_atom_site_label
_atom_site_type_symbol
_atom_site_fract_x
_atom_site_fract_y
_atom_site_fract_z
Dy1 Dy 0.0000 0.0000 0.0000
Y1 Y 0.0000 0.0000 0.5757
Y2 Y 0.0000 0.0000 0.7575
Hg1 Hg 0.0000 0.0000 0.1663
```



The following is a DFT calculation (PBE-GGA) of Dy2Y3Hg4 after structural relaxation.

Summary:
For the formation energy from the elements, the calculation gives -330 meV/atom. For the calculated density, the calculation gives 9.2 g/cm³. The final energy is -3.6411 eV/atom.

```
data_Dy2Y3Hg4
_chemical_formula_sum 'Dy8 Y12 Hg16'
_cell_length_a 6.975
_cell_length_b 18.096
_cell_length_c 7.964
_cell_angle_alpha 90.00
_cell_angle_beta 90.00
_cell_angle_gamma 90.00
_space_group_name_H-M_alt 'C m c e'
_space_group_IT_number 64
_space_group_name_Hall '-C 2ac 2'
loop_
_atom_site_label
_atom_site_type_symbol
_atom_site_fract_x
_atom_site_fract_y
_atom_site_fract_z
Dy1 Dy 0.000 0.095 0.086
Y1 Y 0.000 0.000 0.500
Y2 Y 0.250 0.239 0.750
Hg1 Hg 0.000 0.165 0.466
Hg2 Hg 0.250 0.068 0.750
```



The following is a DFT calculation (PBE-GGA) of Dy4YHg after structural relaxation.

Summary:
For the formation energy from the elements, the calculation gives -143 meV/atom. For the calculated density, the calculation gives 8.7 g/cm³. The offset from the most stable computed form comes out at 0.0 kJ/mol of atoms. The final energy is -4.3383 eV/atom.

```
data_Dy4YHg
_chemical_formula_sum 'Dy4 Y1 Hg1'
_cell_length_a 3.570
_cell_length_b 3.570
_cell_length_c 14.043
_cell_angle_alpha 90.00
_cell_angle_beta 90.00
_cell_angle_gamma 90.00
_space_group_name_H-M_alt 'P 4/m m m'
_space_group_IT_number 123
_space_group_name_Hall '-P 4 2'
loop_
_atom_site_label
_atom_site_type_symbol
_atom_site_fract_x
_atom_site_fract_y
_atom_site_fract_z
Dy1 Dy 0.000 0.000 0.143
Dy2 Dy 0.500 0.500 0.321
Y1 Y 0.000 0.000 0.500
Hg1 Hg 0.500 0.500 0.000
```



The following is a DFT calculation (PBE-GGA) of DyYZnHg after structural relaxation.

Summary:
For the formation energy from the elements, the calculation gives -426 meV/atom. For the calculated density, the calculation gives 8.9 g/cm³. The offset from the most stable computed form comes out at 0.0 kJ/mol of atoms. The final energy is -3.5863 eV/atom.

```
data_DyYZnHg
_chemical_formula_sum 'Dy1 Y1 Zn1 Hg1'
_cell_length_a 3.618
_cell_length_b 3.618
_cell_length_c 7.414
_cell_angle_alpha 90.00
_cell_angle_beta 90.00
_cell_angle_gamma 90.00
_space_group_name_H-M_alt 'P 4 m m'
_space_group_IT_number 99
loop_
_space_group_symop_operation_xyz
'x,y,z'
'-y,x,z'
'-x,-y,z'
'y,-x,z'
'-x,y,z'
'y,x,z'
'x,-y,z'
'-y,-x,z'
loop_
_atom_site_label
_atom_site_type_symbol
_atom_site_fract_x
_atom_site_fract_y
_atom_site_fract_z
Dy1 Dy 0.000 0.000 0.000
Y1 Y 0.000 0.000 0.532
Zn1 Zn 0.500 0.500 0.767
Hg1 Hg 0.500 0.500 0.264
```



The following is a DFT calculation (PBE-GGA) of DyYZnHg after structural relaxation.

Summary:
For the formation energy from the elements, the calculation gives -409 meV/atom. For the calculated density, the calculation gives 8.8 g/cm³. The offset from the most stable computed form comes out at 1.6 kJ/mol of atoms. The final energy is -3.5695 eV/atom.

```
data_DyYZnHg
_chemical_formula_sum 'Dy4 Y4 Zn4 Hg4'
_cell_length_a 7.320
_cell_length_b 7.320
_cell_length_c 7.320
_cell_angle_alpha 90.00
_cell_angle_beta 90.00
_cell_angle_gamma 90.00
_space_group_name_H-M_alt 'F -4 3 m'
_space_group_IT_number 216
_space_group_name_Hall 'F -4 2 3'
loop_
_atom_site_label
_atom_site_type_symbol
_atom_site_fract_x
_atom_site_fract_y
_atom_site_fract_z
Dy1 Dy 0.000 0.000 0.000
Y1 Y 0.000 0.000 0.500
Zn1 Zn 0.250 0.250 0.750
Hg1 Hg 0.250 0.250 0.250
```



- Which of these has the highest final energy?
  Dy3YHg7



- The lowest formation energy from the elements belongs to which entry?
  Dy5YHg6



Repeat the first record exactly.
The following is a DFT calculation (PBE-GGA) of Dy3YHg7 after structural relaxation.

Summary:
For the formation energy from the elements, the calculation gives -214 meV/atom. For the calculated density, the calculation gives 9.2 g/cm³. The final energy is -2.2486 eV/atom.

```
data_Dy3YHg7
_chemical_formula_sum 'Dy12 Y4 Hg28'
_cell_length_a 3.604
_cell_length_b 31.333
_cell_length_c 12.637
_cell_angle_alpha 90.00
_cell_angle_beta 90.00
_cell_angle_gamma 90.00
_space_group_name_H-M_alt 'C m c m'
_space_group_IT_number 63
_space_group_name_Hall '-C 2c 2'
loop_
_atom_site_label
_atom_site_type_symbol
_atom_site_fract_x
_atom_site_fract_y
_atom_site_fract_z
Dy1 Dy 0.000 0.069 0.047
Dy2 Dy 0.000 0.188 0.750
Y1 Y 0.000 0.072 0.750
Hg1 Hg 0.000 0.270 0.078
Hg2 Hg 0.000 0.371 0.098
Hg3 Hg 0.000 0.422 0.750
Hg4 Hg 0.000 0.489 0.117
```



- The highest formation energy from the elements belongs to which entry?
  Dy4YHg